Record 1
Entry from Alexandria via LeMat-Bulk: a relaxed structure of CaAlSb2 (PBE-GGA).

## Properties
* crystal system: tetragonal
* calculated total energy: -3.877 eV/atom
* space group: I-42d (122)

Cell: 6.6845 6.6845 6.6845 Å, 108.02 108.02 112.41°
Last column: nearest neighbours and their distance in Å.
Element x y z (fractional)
Ca  0.0000  0.0000  0.0000  4 Sb 3.19
Ca  0.7500  0.2500  0.5000  4 Sb 3.19
Al  0.2500  0.7500  0.5000  4 Sb 2.69
Al  0.5000  0.5000  0.0000  4 Sb 2.69
Sb  0.1729  0.6250  0.0479  2 Al 2.69
Sb  0.3750  0.4229  0.5479  2 Al 2.69
Sb  0.5771  0.1250  0.9521  2 Al 2.69
Sb  0.8750  0.8271  0.4521  2 Al 2.69

Record 2
Entry from Alexandria via LeMat-Bulk: a relaxed structure of CaAlSb (PBE-GGA).

## Properties
* crystal system: cubic
* calculated total energy: -3.416 eV/atom
* space group: F-43m (216)

Cell: 5.1506 5.1506 5.1506 Å, 60.00 60.00 60.00°
Last column: nearest neighbours and their distance in Å.
Element x y z (fractional)
Ca  0.0000  0.0000  0.0000  4 Sb 3.15
Al  0.5000  0.5000  0.5000  4 Sb 3.15
Sb  0.2500  0.2500  0.2500  4 Al 3.15, 4 Ca 3.15

Record 3
Entry from Alexandria via LeMat-Bulk: a relaxed structure of Ca11AlSb9 (PBE-GGA).

## Properties
* crystal system: orthorhombic
* calculated total energy: -3.976 eV/atom
* space group: Iba2 (45)

Cell: 12.0629 12.0629 12.0629 Å, 121.10 117.40 91.34°
Last column: nearest neighbours and their distance in Å.
Element x y z (fractional)
Ca  0.0467  0.0334  0.3349  2 Sb 3.07-3.20, 1 Al 3.39
Ca  0.0578  0.6829  0.7407  4 Sb 3.06-3.41
Ca  0.1918  0.9276  0.6303  2 Sb 3.08-3.16
Ca  0.1939  0.1939  0.0000  4 Sb 3.06-3.31
Ca  0.1984  0.5334  0.9867  2 Sb 3.07-3.20, 1 Al 3.39
Ca  0.2584  0.4401  0.6349  6 Sb 3.09-3.41
Ca  0.2973  0.5615  0.3697  2 Sb 3.08-3.16
Ca  0.3052  0.9401  0.1817  6 Sb 3.09-3.41
Ca  0.4362  0.7849  0.7958  6 Sb 3.05-3.41
Ca  0.4422  0.1829  0.6250  4 Sb 3.06-3.41
Ca  0.4891  0.2849  0.3487  6 Sb 3.05-3.41
Ca  0.5467  0.2118  0.0133  2 Sb 3.07-3.20, 1 Al 3.39
Ca  0.5578  0.8171  0.3750  4 Sb 3.06-3.41
Ca  0.6918  0.0615  0.2642  2 Sb 3.08-3.16
Ca  0.6939  0.6939  0.0000  4 Sb 3.06-3.31
Ca  0.6984  0.7118  0.6651  2 Sb 3.07-3.20, 1 Al 3.39
Ca  0.7584  0.1235  0.8183  6 Sb 3.09-3.41
Ca  0.7973  0.4276  0.7358  2 Sb 3.08-3.16
Ca  0.8052  0.6235  0.3651  6 Sb 3.09-3.41
Ca  0.9362  0.1404  0.6513  6 Sb 3.05-3.41
Ca  0.9422  0.3171  0.2593  4 Sb 3.06-3.41
Ca  0.9891  0.6404  0.2042  6 Sb 3.05-3.41
Al  0.4764  0.4764  0.0000  4 Sb 2.77-2.79
Al  0.9764  0.9764  0.0000  4 Sb 2.77-2.79
Sb  0.0127  0.3675  0.9989  5 Ca 3.05-3.22
Sb  0.1210  0.6210  0.5000  8 Ca 3.06-3.39
Sb  0.1958  0.2038  0.2800  1 Al 2.79
Sb  0.2554  0.2399  0.7555  1 Al 2.77
Sb  0.2646  0.8389  0.3539  1 Sb 2.89, 2 Ca 3.09-3.11
Sb  0.3686  0.0139  0.0011  5 Ca 3.05-3.22
Sb  0.4237  0.7038  0.0080  1 Al 2.79
Sb  0.4844  0.4999  0.2445  1 Al 2.77
Sb  0.4850  0.9107  0.6461  1 Sb 2.89, 2 Ca 3.09-3.11
Sb  0.5127  0.5139  0.6453  5 Ca 3.05-3.22
Sb  0.6210  0.1210  0.5000  8 Ca 3.06-3.39
Sb  0.6958  0.4157  0.9920  1 Al 2.79
Sb  0.7554  0.9999  0.0155  1 Al 2.77
Sb  0.7646  0.4107  0.4256  1 Sb 2.89, 2 Ca 3.09-3.11
Sb  0.8686  0.8675  0.3547  5 Ca 3.05-3.22
Sb  0.9237  0.9157  0.7200  1 Al 2.79
Sb  0.9844  0.7399  0.9845  1 Al 2.77
Sb  0.9850  0.3389  0.5744  1 Sb 2.89, 2 Ca 3.09-3.11

Record 4
Entry from Alexandria via LeMat-Bulk: a relaxed structure of CaAlSb2 (PBE-GGA).

## Properties
* crystal system: trigonal
* calculated total energy: -3.741 eV/atom
* space group: R-3m (166)

Cell: 5.9637 5.9637 5.9637 Å, 47.74 47.74 47.74°
Last column: nearest neighbours and their distance in Å.
Element x y z (fractional)
Ca  0.0000  0.0000  0.0000  8 Sb 3.26-3.59
Al  0.5000  0.5000  0.5000  6 Sb 2.94
Sb  0.2269  0.2269  0.2269  3 Al 2.94, 3 Ca 3.26
Sb  0.7731  0.7731  0.7731  3 Al 2.94, 3 Ca 3.26

Record 5
Entry from Alexandria via LeMat-Bulk: a relaxed structure of CaAlSb (PBE-GGA).

## Properties
* crystal system: orthorhombic
* calculated total energy: -3.693 eV/atom
* space group: Immm (71)

Cell: 8.3842 8.3842 8.3842 Å, 148.71 144.44 48.08°
Last column: nearest neighbours and their distance in Å.
Element x y z (fractional)
Ca  0.1396  0.1396  0.0000  5 Sb 3.19-3.42, 4 Al 3.34
Ca  0.8604  0.8604  0.0000  5 Sb 3.19-3.42, 4 Al 3.34
Al  0.2363  0.5000  0.7363  2 Al 2.42-2.70, 2 Sb 2.69
Al  0.7637  0.5000  0.2637  2 Al 2.42-2.70, 2 Sb 2.69
Sb  0.3482  0.3482  0.0000  2 Al 2.69
Sb  0.6518  0.6518  0.0000  2 Al 2.69

Record 6
Entry from Alexandria via LeMat-Bulk: a relaxed structure of CaAlSb2 (PBE-GGA).

## Properties
* crystal system: orthorhombic
* calculated total energy: -3.786 eV/atom
* space group: Immm (71)

Cell: 5.7129 5.7129 5.7129 Å, 131.54 131.21 71.22°
Last column: nearest neighbours and their distance in Å.
Element x y z (fractional)
Ca  0.0000  0.0000  0.0000  8 Sb 3.30-3.31, 4 Al 3.33
Al  0.5000  0.5000  0.0000  8 Sb 3.30-3.31, 4 Ca 3.33
Sb  0.2502  0.7502  0.5000  4 Al 3.30-3.31, 4 Ca 3.30-3.31, 4 Sb 3.33
Sb  0.7498  0.2498  0.5000  4 Al 3.30-3.31, 4 Ca 3.30-3.31, 4 Sb 3.33

Record 7
Entry from Alexandria via LeMat-Bulk: a relaxed structure of CaAlSb (PBE-GGA).

## Properties
* crystal system: trigonal
* calculated total energy: -3.705 eV/atom
* space group: P3m1 (156)

Cell: 4.3232 4.3232 5.2749 Å, 90.00 90.00 120.00°
Last column: nearest neighbours and their distance in Å.
Element x y z (fractional)
Ca  0.0000  0.0000  0.0000  3 Al 3.21, 3 Sb 3.24
Al  0.6667  0.3333  0.6163  3 Sb 2.76
Sb  0.3333  0.6667  0.3926  3 Al 2.76

Record 8
Entry from Alexandria via LeMat-Bulk: a relaxed structure of CaAlSb2 (PBE-GGA).

## Properties
* crystal system: orthorhombic
* calculated total energy: -3.794 eV/atom
* space group: Amm2 (38)

Cell: 4.8078 6.9286 6.9286 Å, 29.10 90.00 90.00°
Last column: nearest neighbours and their distance in Å.
Element x y z (fractional)
Ca  0.0000  0.0000  0.0000  6 Sb 3.17-3.48, 4 Al 3.38, 2 Ca 3.48
Al  0.5000  0.3793  0.3793  3 Sb 2.73-2.78
Sb  0.0000  0.2755  0.2755  2 Al 2.78
Sb  0.5000  0.5828  0.5828  1 Al 2.73

Record 9
Entry from Alexandria via LeMat-Bulk: a relaxed structure of CaAl2Sb (PBE-GGA).

## Properties
* crystal system: tetragonal
* calculated total energy: -3.567 eV/atom
* space group: I4/mmm (139)

Cell: 5.8421 5.8421 5.8421 Å, 137.04 137.04 62.38°
Last column: nearest neighbours and their distance in Å.
Element x y z (fractional)
Ca  0.0000  0.0000  0.0000  4 Sb 3.03, 8 Al 3.29
Al  0.2500  0.7500  0.5000  4 Al 3.03, 4 Sb 3.29, 4 Ca 3.29
Al  0.7500  0.2500  0.5000  4 Al 3.03, 4 Sb 3.29, 4 Ca 3.29
Sb  0.5000  0.5000  0.0000  4 Ca 3.03, 8 Al 3.29

Record 10
Entry from Alexandria via LeMat-Bulk: a relaxed structure of CaAlSb2 (PBE-GGA).

## Properties
* crystal system: monoclinic
* calculated total energy: -3.788 eV/atom
* space group: Cm (8)

Cell: 5.7526 5.7526 5.1043 Å, 106.14 106.14 40.91°
Last column: nearest neighbours and their distance in Å.
Element x y z (fractional)
Ca  0.0000  0.0000  0.0000  7 Sb 3.24-3.47, 3 Al 3.37-3.41
Al  0.7589  0.7589  0.2947  4 Sb 2.90-3.06
Sb  0.2355  0.2355  0.6869  2 Al 2.90, 1 Sb 3.12
Sb  0.4819  0.4819  0.4841  3 Al 3.06-3.40, 3 Sb 3.12-3.30, 4 Ca 3.24-3.27

Record 11
Entry from Alexandria via LeMat-Bulk: a relaxed structure of CaAlSb2 (PBE-GGA).

## Properties
* crystal system: tetragonal
* calculated total energy: -3.812 eV/atom
* space group: P4/mmm (123)

Cell: 4.7987 4.7987 4.4084 Å, 90.00 90.00 90.00°
Last column: nearest neighbours and their distance in Å.
Element x y z (fractional)
Ca  0.0000  0.0000  0.0000  8 Sb 3.26, 4 Al 3.39
Al  0.5000  0.5000  0.0000  8 Sb 3.26, 4 Ca 3.39
Sb  0.0000  0.5000  0.5000  4 Ca 3.26, 4 Al 3.26, 4 Sb 3.39
Sb  0.5000  0.0000  0.5000  4 Ca 3.26, 4 Al 3.26, 4 Sb 3.39

Record 12
Entry from Alexandria via LeMat-Bulk: a relaxed structure of Ca5Al2Sb (PBE-GGA).

## Properties
* crystal system: tetragonal
* calculated total energy: -3.139 eV/atom
* space group: I4/mcm (140)

Cell: 9.3414 9.3414 9.3414 Å, 128.13 128.13 76.42°
Last column: nearest neighbours and their distance in Å.
Element x y z (fractional)
Ca  0.0000  0.0000  0.0000  4 Al 3.29, 2 Sb 3.67, 8 Ca 3.68
Ca  0.0304  0.5304  0.8456  3 Al 3.18-3.23, 2 Sb 3.41
Ca  0.1848  0.0304  0.5000  3 Al 3.18-3.23, 2 Sb 3.41
Ca  0.3152  0.8152  0.8456  3 Al 3.18-3.23, 2 Sb 3.41
Ca  0.4696  0.3152  0.5000  3 Al 3.18-3.23, 2 Sb 3.41
Ca  0.5000  0.5000  0.0000  4 Al 3.29, 2 Sb 3.67, 8 Ca 3.68
Ca  0.5304  0.6848  0.5000  3 Al 3.18-3.23, 2 Sb 3.41
Ca  0.6848  0.1848  0.1544  3 Al 3.18-3.23, 2 Sb 3.41
Ca  0.8152  0.9696  0.5000  3 Al 3.18-3.23, 2 Sb 3.41
Ca  0.9696  0.4696  0.1544  3 Al 3.18-3.23, 2 Sb 3.41
Al  0.1146  0.3854  0.5000  1 Al 2.65
Al  0.3854  0.8854  0.2708  1 Al 2.65
Al  0.6146  0.1146  0.7292  1 Al 2.65
Al  0.8854  0.6146  0.5000  1 Al 2.65
Sb  0.2500  0.2500  0.0000  10 Ca 3.41-3.67
Sb  0.7500  0.7500  0.0000  10 Ca 3.41-3.67